# 1
A relaxed ZrBr2Cl crystal. Source: Alexandria, functional GGA-PBEsol.

Computed properties:
* symmetry: I-4m2 (119)
* raw formation energy: -0.641 eV per atom
* E above lowest polymorph: 3.18 eV/f.u.
* total magnetization: 1.55 μB per cell

Structure (CIF):
```
data_ZrBr2Cl
_chemical_formula_sum 'Zr2 Br4 Cl2'
_cell_length_a 4.548
_cell_length_b 4.548
_cell_length_c 7.881
_cell_angle_alpha 90.00
_cell_angle_beta 90.00
_cell_angle_gamma 90.00
_space_group_name_H-M_alt 'P 1'
_space_group_IT_number 1
loop_
_space_group_symop_operation_xyz
'x,y,z'
loop_
_atom_site_label
_atom_site_type_symbol
_atom_site_fract_x
_atom_site_fract_y
_atom_site_fract_z
Zr1 Zr 0.000 0.000 0.000
Zr2 Zr 0.500 0.500 0.500
Br1 Br 0.000 0.000 0.500
Br2 Br 0.000 0.500 0.750
Br3 Br 0.500 0.000 0.250
Br4 Br 0.500 0.500 0.000
Cl1 Cl 0.000 0.500 0.250
Cl2 Cl 0.500 0.000 0.750
```



# 2
A relaxed NbPd2Cl crystal. Source: Alexandria, functional GGA-PBEsol.

Computed properties:
* symmetry: Fm-3m (225)
* raw formation energy: 0.341 eV per atom
* total magnetization: 0.00 μB per cell

Structure (CIF):
```
data_NbPd2Cl
_chemical_formula_sum 'Nb4 Pd8 Cl4'
_cell_length_a 6.398
_cell_length_b 6.398
_cell_length_c 6.398
_cell_angle_alpha 90.00
_cell_angle_beta 90.00
_cell_angle_gamma 90.00
_space_group_name_H-M_alt 'P 1'
_space_group_IT_number 1
loop_
_space_group_symop_operation_xyz
'x,y,z'
loop_
_atom_site_label
_atom_site_type_symbol
_atom_site_fract_x
_atom_site_fract_y
_atom_site_fract_z
Nb1 Nb 0.000 0.000 0.000
Nb2 Nb 0.000 0.500 0.500
Nb3 Nb 0.500 0.000 0.500
Nb4 Nb 0.500 0.500 0.000
Pd1 Pd 0.250 0.250 0.250
Pd2 Pd 0.250 0.250 0.750
Pd3 Pd 0.250 0.750 0.250
Pd4 Pd 0.250 0.750 0.750
Pd5 Pd 0.750 0.250 0.250
Pd6 Pd 0.750 0.250 0.750
Pd7 Pd 0.750 0.750 0.250
Pd8 Pd 0.750 0.750 0.750
Cl1 Cl 0.000 0.000 0.500
Cl2 Cl 0.000 0.500 0.000
Cl3 Cl 0.500 0.000 0.000
Cl4 Cl 0.500 0.500 0.500
```



# 3
A relaxed Cr2TeCl crystal. Source: Alexandria, functional GGA-PBEsol.

Computed properties:
* symmetry: F-43m (216)
* raw formation energy: 0.729 eV per atom
* E above lowest polymorph: 1.57 eV/f.u.
* total magnetization: 36.00 μB per cell

Structure (CIF):
```
data_Cr2TeCl
_chemical_formula_sum 'Cr8 Te4 Cl4'
_cell_length_a 6.912
_cell_length_b 6.912
_cell_length_c 6.912
_cell_angle_alpha 90.00
_cell_angle_beta 90.00
_cell_angle_gamma 90.00
_space_group_name_H-M_alt 'P 1'
_space_group_IT_number 1
loop_
_space_group_symop_operation_xyz
'x,y,z'
loop_
_atom_site_label
_atom_site_type_symbol
_atom_site_fract_x
_atom_site_fract_y
_atom_site_fract_z
Cr1 Cr 0.000 0.000 0.000
Cr2 Cr 0.000 0.500 0.500
Cr3 Cr 0.250 0.250 0.250
Cr4 Cr 0.250 0.750 0.750
Cr5 Cr 0.500 0.000 0.500
Cr6 Cr 0.500 0.500 0.000
Cr7 Cr 0.750 0.250 0.750
Cr8 Cr 0.750 0.750 0.250
Te1 Te 0.250 0.250 0.750
Te2 Te 0.250 0.750 0.250
Te3 Te 0.750 0.250 0.250
Te4 Te 0.750 0.750 0.750
Cl1 Cl 0.000 0.000 0.500
Cl2 Cl 0.000 0.500 0.000
Cl3 Cl 0.500 0.000 0.000
Cl4 Cl 0.500 0.500 0.500
```



# 4
A relaxed KLa2Ta crystal. Source: Alexandria, functional GGA-PBEsol.

Computed properties:
* symmetry: P4mm (99)
* energy of formation: 71 kJ per mole of atoms
* E above lowest polymorph: 0.68 eV/f.u.
* total magnetization: 0.00 μB per cell

Structure (CIF):
```
data_KLa2Ta
_chemical_formula_sum 'K1 La2 Ta1'
_cell_length_a 3.140
_cell_length_b 3.140
_cell_length_c 12.368
_cell_angle_alpha 90.00
_cell_angle_beta 90.00
_cell_angle_gamma 90.00
_space_group_name_H-M_alt 'P 1'
_space_group_IT_number 1
loop_
_space_group_symop_operation_xyz
'x,y,z'
loop_
_atom_site_label
_atom_site_type_symbol
_atom_site_fract_x
_atom_site_fract_y
_atom_site_fract_z
K1 K 0.000 0.000 0.000
La1 La 0.000 0.000 0.563
La2 La 0.500 0.500 0.305
Ta1 Ta 0.500 0.500 0.750
```



# 5
A relaxed NaGeSbO5 crystal. Source: Alexandria, functional GGA-PBEsol.

Computed properties:
* symmetry: Pna2_1 (33)
* raw formation energy: -1.652 eV per atom
* E above lowest polymorph: 0.19 eV/f.u.
* total magnetization: 0.00 μB per cell

Structure (CIF):
```
data_NaGeSbO5
_chemical_formula_sum 'Na8 Ge8 Sb8 O40'
_cell_length_a 13.039
_cell_length_b 6.435
_cell_length_c 10.755
_cell_angle_alpha 90.00
_cell_angle_beta 90.00
_cell_angle_gamma 90.00
_space_group_name_H-M_alt 'P 1'
_space_group_IT_number 1
loop_
_space_group_symop_operation_xyz
'x,y,z'
loop_
_atom_site_label
_atom_site_type_symbol
_atom_site_fract_x
_atom_site_fract_y
_atom_site_fract_z
Na1 Na 0.101 0.228 0.000
Na2 Na 0.157 0.799 0.322
Na3 Na 0.343 0.299 0.822
Na4 Na 0.399 0.728 0.500
Na5 Na 0.601 0.272 0.000
Na6 Na 0.657 0.701 0.322
Na7 Na 0.843 0.201 0.822
Na8 Na 0.899 0.772 0.500
Ge1 Ge 0.019 0.313 0.334
Ge2 Ge 0.187 0.041 0.601
Ge3 Ge 0.313 0.541 0.101
Ge4 Ge 0.481 0.813 0.834
Ge5 Ge 0.519 0.187 0.334
Ge6 Ge 0.687 0.459 0.601
Ge7 Ge 0.813 0.959 0.101
Ge8 Ge 0.981 0.687 0.834
Sb1 Sb 0.114 0.533 0.590
Sb2 Sb 0.226 0.779 0.864
Sb3 Sb 0.274 0.279 0.364
Sb4 Sb 0.386 0.033 0.090
Sb5 Sb 0.614 0.967 0.590
Sb6 Sb 0.726 0.721 0.864
Sb7 Sb 0.774 0.221 0.364
Sb8 Sb 0.886 0.467 0.090
O1 O 0.016 0.405 0.180
O2 O 0.029 0.533 0.432
O3 O 0.079 0.865 0.873
O4 O 0.095 0.235 0.619
O5 O 0.117 0.831 0.544
O6 O 0.132 0.165 0.348
O7 O 0.195 0.553 0.745
O8 O 0.208 0.570 0.998
O9 O 0.243 0.498 0.491
O10 O 0.246 0.503 0.242
O11 O 0.254 0.003 0.742
O12 O 0.257 0.998 0.991
O13 O 0.292 0.070 0.498
O14 O 0.305 0.053 0.245
O15 O 0.368 0.665 0.848
O16 O 0.383 0.331 0.044
O17 O 0.405 0.735 0.119
O18 O 0.421 0.365 0.373
O19 O 0.471 0.033 0.932
O20 O 0.484 0.905 0.680
O21 O 0.516 0.095 0.180
O22 O 0.529 0.967 0.432
O23 O 0.579 0.635 0.873
O24 O 0.595 0.265 0.619
O25 O 0.617 0.669 0.544
O26 O 0.632 0.335 0.348
O27 O 0.695 0.947 0.745
O28 O 0.708 0.930 0.998
O29 O 0.743 0.002 0.491
O30 O 0.746 0.997 0.242
O31 O 0.754 0.497 0.742
O32 O 0.757 0.502 0.991
O33 O 0.792 0.430 0.498
O34 O 0.805 0.447 0.245
O35 O 0.868 0.835 0.848
O36 O 0.883 0.169 0.044
O37 O 0.905 0.765 0.119
O38 O 0.921 0.135 0.373
O39 O 0.971 0.467 0.932
O40 O 0.984 0.595 0.680
```



# 6
A relaxed Tc3SI crystal. Source: Alexandria, functional GGA-PBEsol.

Computed properties:
* symmetry: Pm-3m (221)
* raw formation energy: 2.421 eV per atom
* total magnetization: 2.96 μB per cell

Structure (CIF):
```
data_Tc3SI
_chemical_formula_sum 'Tc3 S1 I1'
_cell_length_a 4.779
_cell_length_b 4.779
_cell_length_c 4.779
_cell_angle_alpha 90.00
_cell_angle_beta 90.00
_cell_angle_gamma 90.00
_space_group_name_H-M_alt 'P 1'
_space_group_IT_number 1
loop_
_space_group_symop_operation_xyz
'x,y,z'
loop_
_atom_site_label
_atom_site_type_symbol
_atom_site_fract_x
_atom_site_fract_y
_atom_site_fract_z
Tc1 Tc 0.000 0.000 0.500
Tc2 Tc 0.000 0.500 0.000
Tc3 Tc 0.500 0.000 0.000
S1 S 0.500 0.500 0.500
I1 I 0.000 0.000 0.000
```



# 7
A relaxed LiBeAlMo2 crystal. Source: Alexandria, functional GGA-PBEsol.

Computed properties:
* symmetry: P4/mmm (123)
* energy of formation: 124 kJ per mole of atoms
* total magnetization: 0.00 μB per cell

Structure (CIF):
```
data_LiBeAlMo2
_chemical_formula_sum 'Li1 Be1 Al1 Mo2'
_cell_length_a 4.155
_cell_length_b 4.155
_cell_length_c 4.087
_cell_angle_alpha 90.00
_cell_angle_beta 90.00
_cell_angle_gamma 90.00
_space_group_name_H-M_alt 'P 1'
_space_group_IT_number 1
loop_
_space_group_symop_operation_xyz
'x,y,z'
loop_
_atom_site_label
_atom_site_type_symbol
_atom_site_fract_x
_atom_site_fract_y
_atom_site_fract_z
Li1 Li 0.000 0.000 0.000
Be1 Be 0.500 0.500 0.500
Al1 Al 0.000 0.000 0.500
Mo1 Mo 0.000 0.500 0.000
Mo2 Mo 0.500 0.000 0.000
```



# 8
A relaxed TiAl2Mo crystal. Source: Alexandria, functional GGA-PBEsol.

Computed properties:
* symmetry: I-42d (122)
* energy of formation: 20 kJ per mole of atoms
* total magnetization: 0.00 μB per cell

Structure (CIF):
```
data_TiAl2Mo
_chemical_formula_sum 'Ti4 Al8 Mo4'
_cell_length_a 6.972
_cell_length_b 6.972
_cell_length_c 5.348
_cell_angle_alpha 90.00
_cell_angle_beta 90.00
_cell_angle_gamma 90.00
_space_group_name_H-M_alt 'P 1'
_space_group_IT_number 1
loop_
_space_group_symop_operation_xyz
'x,y,z'
loop_
_atom_site_label
_atom_site_type_symbol
_atom_site_fract_x
_atom_site_fract_y
_atom_site_fract_z
Ti1 Ti 0.000 0.000 0.000
Ti2 Ti 0.000 0.500 0.250
Ti3 Ti 0.500 0.000 0.750
Ti4 Ti 0.500 0.500 0.500
Al1 Al 0.245 0.750 0.625
Al2 Al 0.250 0.245 0.375
Al3 Al 0.250 0.255 0.875
Al4 Al 0.255 0.750 0.125
Al5 Al 0.745 0.250 0.125
Al6 Al 0.750 0.745 0.875
Al7 Al 0.750 0.755 0.375
Al8 Al 0.755 0.250 0.625
Mo1 Mo 0.000 0.000 0.500
Mo2 Mo 0.000 0.500 0.750
Mo3 Mo 0.500 0.000 0.250
Mo4 Mo 0.500 0.500 0.000
```



Which formula does entry 3 have? Cr2TeCl



What is the formula in the eighth record? TiAl2Mo



What is the total magnetization in the second record? 0.00 μB per cell